First-principles (PBE) data for an optimized crystal structure of MgCoPt, as listed in Alexandria.

```
data_MgCoPt
_chemical_formula_sum 'Mg1 Co1 Pt1'
_cell_length_a 4.3343
_cell_length_b 4.3343
_cell_length_c 2.7736
_cell_angle_alpha 90.00
_cell_angle_beta 90.00
_cell_angle_gamma 120.00
_space_group_name_H-M_alt 'P -6 m 2'
_space_group_IT_number 187
_space_group_name_Hall 'P -6 2'
loop_
_atom_site_label
_atom_site_type_symbol
_atom_site_fract_x
_atom_site_fract_y
_atom_site_fract_z
Mg1 Mg 0.0000 0.0000 0.0000
Co1 Co 0.3333 0.6667 0.5000
Pt1 Pt 0.6667 0.3333 0.5000
```

---

First-principles (PBE) data for an optimized crystal structure of MgCo2Pt2, as listed in Alexandria.

```
data_MgCo2Pt2
_chemical_formula_sum 'Mg2 Co4 Pt4'
_cell_length_a 7.3334
_cell_length_b 7.3334
_cell_length_c 2.7910
_cell_angle_alpha 90.00
_cell_angle_beta 90.00
_cell_angle_gamma 90.00
_space_group_name_H-M_alt 'P 4/m b m'
_space_group_IT_number 127
_space_group_name_Hall '-P 4 2ab'
loop_
_atom_site_label
_atom_site_type_symbol
_atom_site_fract_x
_atom_site_fract_y
_atom_site_fract_z
Mg1 Mg 0.0000 0.0000 0.0000
Co1 Co 0.1656 0.3344 0.5000
Pt1 Pt 0.1331 0.6331 0.0000
```

---

First-principles (PBE) data for an optimized crystal structure of Mg3CoPt, as listed in Alexandria.

```
data_Mg3CoPt
_chemical_formula_sum 'Mg3 Co1 Pt1'
_cell_length_a 4.9159
_cell_length_b 4.9159
_cell_length_c 4.9159
_cell_angle_alpha 90.00
_cell_angle_beta 90.00
_cell_angle_gamma 90.00
_space_group_name_H-M_alt 'P m -3 m'
_space_group_IT_number 221
_space_group_name_Hall '-P 4 2 3'
loop_
_atom_site_label
_atom_site_type_symbol
_atom_site_fract_x
_atom_site_fract_y
_atom_site_fract_z
Mg1 Mg 0.0000 0.0000 0.5000
Co1 Co 0.5000 0.5000 0.5000
Pt1 Pt 0.0000 0.0000 0.0000
```

---

First-principles (PBE) data for an optimized crystal structure of MgCoPt, as listed in Alexandria.

```
data_MgCoPt
_chemical_formula_sum 'Mg2 Co2 Pt2'
_cell_length_a 2.8340
_cell_length_b 2.8340
_cell_length_c 11.0393
_cell_angle_alpha 90.00
_cell_angle_beta 90.00
_cell_angle_gamma 90.00
_space_group_name_H-M_alt 'I 4 m m'
_space_group_IT_number 107
_space_group_name_Hall 'I 4 -2'
loop_
_atom_site_label
_atom_site_type_symbol
_atom_site_fract_x
_atom_site_fract_y
_atom_site_fract_z
Mg1 Mg 0.0000 0.0000 0.0000
Co1 Co 0.0000 0.0000 0.3257
Pt1 Pt 0.0000 0.0000 0.6766
```

---

First-principles (PBE) data for an optimized crystal structure of Mg2CoPt, as listed in Alexandria.

```
data_Mg2CoPt
_chemical_formula_sum 'Mg8 Co4 Pt4'
_cell_length_a 7.0491
_cell_length_b 7.0491
_cell_length_c 5.3986
_cell_angle_alpha 90.00
_cell_angle_beta 90.00
_cell_angle_gamma 90.00
_space_group_name_H-M_alt 'I -4 2 d'
_space_group_IT_number 122
_space_group_name_Hall 'I -4 2bw'
loop_
_atom_site_label
_atom_site_type_symbol
_atom_site_fract_x
_atom_site_fract_y
_atom_site_fract_z
Mg1 Mg 0.2454 0.7500 0.1250
Co1 Co 0.0000 0.0000 0.0000
Pt1 Pt 0.0000 0.0000 0.5000
```

---

First-principles (PBE) data for an optimized crystal structure of MgCoPt3, as listed in Alexandria.

```
data_MgCoPt3
_chemical_formula_sum 'Mg1 Co1 Pt3'
_cell_length_a 4.5897
_cell_length_b 4.5897
_cell_length_c 4.5897
_cell_angle_alpha 90.00
_cell_angle_beta 90.00
_cell_angle_gamma 90.00
_space_group_name_H-M_alt 'P m -3 m'
_space_group_IT_number 221
_space_group_name_Hall '-P 4 2 3'
loop_
_atom_site_label
_atom_site_type_symbol
_atom_site_fract_x
_atom_site_fract_y
_atom_site_fract_z
Mg1 Mg 0.0000 0.0000 0.0000
Co1 Co 0.5000 0.5000 0.5000
Pt1 Pt 0.0000 0.5000 0.5000
```

---

| no. | energy relative to the elements (kcal/mol of atoms) | energy (eV/atom) |
| --- | --- | --- |
| 1 | -5.2 | -5.14 |
| 2 | -2.5 | -5.68 |
| 3 | 7.4 | -3.26 |
| 4 | -5.0 | -5.13 |
| 5 | 1.8 | -4.00 |
| 6 | 10.8 | -4.89 |